[1]
Density functional theory data (GGA-PBE) for a relaxed Y5Sc4 crystal.

## Properties
The value obtained for the density is 4.02 g cm⁻³.

a b c (Å): 11.4048 10.3342 4.8312
angles (deg): 90.00 114.99 90.00
Closest atoms and distances in Å follow each position.
Space group C2/m (No. 12)
One atom of each set of equivalent atoms:
Y1 0.0000 0.0000 0.0000  4 Y 3.39, 8 Sc 3.43
Y2 0.0000 0.3277 0.0000  6 Y 3.39-3.56, 6 Sc 3.40-3.44
Y3 0.1723 0.5000 0.6722  6 Y 3.39-3.56, 6 Sc 3.40-3.44
Sc1 0.1669 0.1669 0.6667  8 Y 3.40-3.44, 4 Sc 3.42-3.45

***

[2]
Density functional theory data (GGA-PBE) for a relaxed YScZn crystal.

## Properties
The value obtained for the density is 4.57 g cm⁻³. As for the energy above the lowest structure with this stoichiometry: 36.2 meV per atom.

a b c (Å): 4.5188 4.5188 7.0884
angles (deg): 90.00 90.00 90.00
Closest atoms and distances in Å follow each position.
Space group P4/nmm (No. 129, origin choice 2)
One atom of each set of equivalent atoms:
Y1 0.2500 0.2500 0.1365  1 Zn 2.85
Sc1 0.2500 0.7500 0.5000  4 Zn 2.81
Zn1 0.2500 0.2500 0.7349  4 Sc 2.81, 1 Y 2.85

***

[3]
Density functional theory data (GGA-PBE) for a relaxed YSc2Zn4 crystal.

## Properties
The value obtained for the density is 4.82 g cm⁻³.

a b c (Å): 4.8459 4.8459 12.9322
angles (deg): 90.00 90.00 90.00
Closest atoms and distances in Å follow each position.
Space group I4/mmm (No. 139)
One atom of each set of equivalent atoms:
Y1 0.0000 0.0000 0.0000  8 Zn 2.93
Sc1 0.0000 0.0000 0.2594  8 Zn 2.83-2.96
Zn1 0.0000 0.5000 0.1277  4 Sc 2.83-2.96, 2 Y 2.93, 1 Zn 3.16

***

| no. | uncorrected energy (eV/atom) |
| --- | --- |
| 1 | -6.3429 |
| 2 | -4.9088 |
| 3 | -3.5916 |